## Zr2NiS6 (PBE-GGA)

Data for a relaxed structure of Zr2NiS6.

Results
Total DFT energy (no corrections) = -6.12 eV per atom
Formation energy from raw total energies = -0.830 eV/atom
ρ = 3807 kg/m³

Unit cell a=5.8418 b=5.8418 c=11.0819 alpha=90.00 beta=90.00 gamma=90.00
Fractional coordinates of all 18 atoms:
Zr (0.0000, 0.0000, 0.1608)
Zr (0.0000, 0.0000, 0.8392)
Zr (0.5000, 0.5000, 0.3392)
Zr (0.5000, 0.5000, 0.6608)
Ni (0.0000, 0.0000, 0.5000)
Ni (0.5000, 0.5000, 0.0000)
S (0.1850, 0.1850, 0.3444)
S (0.1850, 0.1850, 0.6556)
S (0.2143, 0.2143, 0.0000)
S (0.2857, 0.7143, 0.5000)
S (0.3150, 0.6850, 0.1556)
S (0.3150, 0.6850, 0.8444)
S (0.6850, 0.3150, 0.1556)
S (0.6850, 0.3150, 0.8444)
S (0.7143, 0.2857, 0.5000)
S (0.7857, 0.7857, 0.0000)
S (0.8150, 0.8150, 0.3444)
S (0.8150, 0.8150, 0.6556)

=====

## Ce3As4Pd7 (PBE-GGA)

Data for a relaxed structure of Ce3As4Pd7.

Results
Total DFT energy (no corrections) = -6.10 eV per atom
Calculated formation energy = -0.903 eV/atom
ρ = 9330 kg/m³

Unit cell a=8.1908 b=8.1908 c=9.6540 alpha=124.46 beta=124.46 gamma=29.77
Fractional coordinates of all 14 atoms:
Ce (0.0000, 0.0000, 0.0000)
Ce (0.3187, 0.3187, 0.3243)
Ce (0.6813, 0.6813, 0.6757)
As (0.1079, 0.1079, 0.8259)
As (0.3426, 0.3426, 0.7464)
As (0.6574, 0.6574, 0.2536)
As (0.8921, 0.8921, 0.1741)
Pd (0.0000, 0.0000, 0.5000)
Pd (0.1634, 0.1634, 0.4302)
Pd (0.3093, 0.3093, 0.9760)
Pd (0.4891, 0.4891, 0.7019)
Pd (0.5109, 0.5109, 0.2981)
Pd (0.6907, 0.6907, 0.0240)
Pd (0.8366, 0.8366, 0.5698)

=====

## Li4CrRu (PBE-GGA)

Data for a relaxed structure of Li4CrRu.

Results
Total DFT energy (no corrections) = -4.00 eV per atom
Calculated formation energy = 0.430 eV/atom
ρ = 3738 kg/m³

Unit cell a=4.8434 b=4.8434 c=4.8434 alpha=60.00 beta=60.00 gamma=60.00
Fractional coordinates of all 6 atoms:
Li (0.3764, 0.3764, 0.3764)
Li (0.3764, 0.3764, 0.8709)
Li (0.3764, 0.8709, 0.3764)
Li (0.8709, 0.3764, 0.3764)
Cr (0.0000, 0.0000, 0.0000)
Ru (0.7500, 0.7500, 0.7500)

=====

## YHgCl (PBE-GGA)

Data for a relaxed structure of YHgCl.

Results
Polymorph energy (0 for the lowest one) = 0 meV per atom
Total DFT energy (no corrections) = -3.85 eV per atom
Formation energy from raw total energies = -0.976 eV/atom
ρ = 5821 kg/m³

Unit cell a=3.6989 b=3.6989 c=7.8228 alpha=90.00 beta=90.00 gamma=120.00
Fractional coordinates of all 3 atoms:
Y (0.0000, 0.0000, 0.0000)
Hg (0.6667, 0.3333, 0.7186)
Cl (0.3333, 0.6667, 0.2273)